A plane-wave DFT calculation with PBE was carried out for a relaxed CuAg4 crystal.

The structure belongs to space group I4/m (No. 87); the cell edges are 6.420, 6.420 and 4.052 Å and the angles 90.00°, 90.00° and 90.00°. The inequivalent atoms are Cu at (0.000, 0.000, 0.000) and Ag at (0.102, 0.297, 0.500).

The calculation puts the calculated total energy at -29.42 eV per cell. The calculation puts the volume at 16.7 Å³ per atom.

---

A plane-wave DFT calculation with PBE was carried out for a relaxed DyYB4C crystal.

The structure belongs to space group Imm2 (No. 44); the cell edges are 3.276, 6.570 and 7.565 Å and the angles 90.00°, 90.00° and 90.00°. The inequivalent atoms are Dy at (0.000, 0.000, 0.000), Y at (0.000, 0.000, 0.531), B at (0.000, 0.273, 0.266), B at (0.000, 0.366, 0.766) and C at (0.000, 0.500, 0.266).

The magnetic moment is 0.000 μB/atom. The calculation puts the calculated total energy at -101.88 eV per cell. The calculation puts the volume at 11.6 Å³ per atom.

---

A plane-wave DFT calculation with PBE was carried out for a relaxed FeAgBW crystal.

The structure belongs to space group F-43m (No. 216); the cell edges are 5.929, 5.929 and 5.929 Å and the angles 90.00°, 90.00° and 90.00°. The inequivalent atoms are Fe at (0.000, 0.000, 0.000), Ag at (0.250, 0.250, 0.250), B at (0.250, 0.250, 0.750) and W at (0.000, 0.000, 0.500).

The magnetic moment is 0.513 μB/atom. The calculation puts the calculated total energy at -107.34 eV per cell. The calculation puts the volume at 13.0 Å³ per atom.

---

A plane-wave DFT calculation with PBE was carried out for a relaxed YPIrO crystal.

The structure belongs to space group P4/nmm (No. 129, origin choice 2); the cell edges are 3.958, 3.958 and 8.034 Å and the angles 90.00°, 90.00° and 90.00°. The inequivalent atoms are Y at (0.250, 0.250, 0.136), P at (0.250, 0.250, 0.663), Ir at (0.250, 0.750, 0.500) and O at (0.250, 0.750, 0.000).

The magnetic moment is 0.001 μB/atom. The calculation puts the calculated total energy at -66.97 eV per cell. The calculation puts the volume at 15.7 Å³ per atom.

---

A plane-wave DFT calculation with PBE was carried out for a relaxed YFeSnW crystal.

The structure belongs to space group F-43m (No. 216); the cell edges are 6.691, 6.691 and 6.691 Å and the angles 90.00°, 90.00° and 90.00°. The inequivalent atoms are Y at (0.000, 0.000, 0.000), Fe at (0.250, 0.250, 0.750), Sn at (0.000, 0.000, 0.500) and W at (0.250, 0.250, 0.250).

The magnetic moment is 0.749 μB/atom. The calculation puts the calculated total energy at -119.07 eV per cell. The calculation puts the volume at 18.7 Å³ per atom.

---

A plane-wave DFT calculation with PBE was carried out for a relaxed GdTmCSe crystal.

The structure belongs to space group P-6m2 (No. 187); the cell edges are 3.7511, 3.7511 and 13.2536 Å and the angles 90.00°, 90.00° and 120.00°. The inequivalent atoms are Gd at (0.0000, 0.0000, 0.1528), Tm at (0.6667, 0.3333, 0.3532), C at (0.3333, 0.6667, 0.2561), Se at (0.0000, 0.0000, 0.5000) and Se at (0.6667, 0.3333, 0.0000).

The magnetic moment is 0.001 μB/atom. The calculation puts the calculated total energy at -52.83 eV per cell. The calculation puts the volume at 20.2 Å³ per atom.

---

A plane-wave DFT calculation with PBE was carried out for a relaxed CsAgOsSe2S crystal.

The structure belongs to space group Cmcm (No. 63); the cell edges are 3.933, 16.035 and 9.896 Å and the angles 90.00°, 90.00° and 90.00°. The inequivalent atoms are Cs at (0.000, 0.244, 0.250), Ag at (0.000, 0.460, 0.750), Os at (0.000, 0.000, 0.000), Se at (0.000, 0.397, 0.516) and S at (0.000, 0.058, 0.750).

The magnetic moment is 0.191 μB/atom. The calculation puts the calculated total energy at -107.19 eV per cell. The calculation puts the volume at 26.0 Å³ per atom.

---

A plane-wave DFT calculation with PBE was carried out for a relaxed Sm2HoCu4Ge4 crystal.

The structure belongs to space group Immm (No. 71); the cell edges are 4.262, 6.641 and 14.076 Å and the angles 90.00°, 90.00° and 90.00°. The inequivalent atoms are Sm at (0.000, 0.000, 0.131), Ho at (0.000, 0.500, 0.000), Cu at (0.000, 0.188, 0.331), Ge at (0.000, 0.306, 0.500) and Ge at (0.000, 0.500, 0.215).

The magnetic moment is 0.000 μB/atom. The calculation puts the calculated total energy at -108.36 eV per cell. The calculation puts the volume at 18.1 Å³ per atom.

---

A plane-wave DFT calculation with PBE was carried out for a relaxed Er3In3CuAgIr crystal.

The structure belongs to space group P-6 (No. 174); the cell edges are 7.6838, 7.6838 and 3.8235 Å and the angles 90.00°, 90.00° and 120.00°. The inequivalent atoms are Er at (0.0888, 0.7295, 0.0000), In at (0.4130, 0.0824, 0.5000), Cu at (0.6667, 0.3333, 0.0000), Ag at (0.0000, 0.0000, 0.5000) and Ir at (0.3333, 0.6667, 0.5000).

The magnetic moment is 0.001 μB/atom. The calculation puts the calculated total energy at -42.44 eV per cell. The calculation puts the volume at 21.7 Å³ per atom.

---

A plane-wave DFT calculation with PBE was carried out for a relaxed Ba2HgIrN crystal.

The structure belongs to space group P4/mmm (No. 123); the cell edges are 5.913, 5.913 and 3.812 Å and the angles 90.00°, 90.00° and 90.00°. The inequivalent atoms are Ba at (0.000, 0.500, 0.000), Hg at (0.000, 0.000, 0.500), Ir at (0.500, 0.500, 0.500) and N at (0.500, 0.500, 0.000).

The magnetic moment is 0.000 μB/atom. The calculation puts the calculated total energy at -23.96 eV per cell. The calculation puts the volume at 26.7 Å³ per atom.

---

A plane-wave DFT calculation with PBE was carried out for a relaxed PrGaPO crystal.

The structure belongs to space group P4/nmm (No. 129, origin choice 2); the cell edges are 4.696, 4.696 and 7.128 Å and the angles 90.00°, 90.00° and 90.00°. The inequivalent atoms are Pr at (0.250, 0.750, 0.000), Ga at (0.250, 0.250, 0.464), P at (0.250, 0.250, 0.792) and O at (0.250, 0.750, 0.500).

The magnetic moment is 0.128 μB/atom. The calculation puts the calculated total energy at -40.30 eV per cell. The calculation puts the volume at 19.6 Å³ per atom.

---

A plane-wave DFT calculation with PBE was carried out for a relaxed BaNiPd crystal.

The structure belongs to space group F-43m (No. 216); the cell edges are 6.854, 6.854 and 6.854 Å and the angles 90.00°, 90.00° and 90.00°. The inequivalent atoms are Ba at (0.000, 0.000, 0.000), Ni at (0.250, 0.250, 0.750) and Pd at (0.250, 0.250, 0.250).

The magnetic moment is 0.000 μB/atom. The calculation puts the calculated total energy at -42.76 eV per cell. The calculation puts the volume at 26.8 Å³ per atom.

---

A plane-wave DFT calculation with PBE was carried out for a relaxed CuF2 crystal.

The structure belongs to space group P2_12_12_1 (No. 19); the cell edges are 4.339, 4.692 and 6.365 Å and the angles 90.00°, 90.00° and 90.00°. The inequivalent atoms are Cu at (0.249, 0.000, 0.125), F at (0.029, 0.185, 0.875) and F at (0.030, 0.184, 0.375).

The calculation puts the calculated total energy at -47.19 eV per cell. The calculation puts the volume at 10.8 Å³ per atom.

---

A plane-wave DFT calculation with PBE was carried out for a relaxed NaDyEr crystal.

The structure belongs to space group F-43m (No. 216); the cell edges are 7.476, 7.476 and 7.476 Å and the angles 90.00°, 90.00° and 90.00°. The inequivalent atoms are Na at (0.000, 0.000, 0.000), Dy at (0.250, 0.250, 0.750) and Er at (0.250, 0.250, 0.250).

The magnetic moment is 0.362 μB/atom. The calculation puts the calculated total energy at -31.78 eV per cell. The calculation puts the volume at 34.8 Å³ per atom.

---

A plane-wave DFT calculation with PBE was carried out for a relaxed BaZr2 crystal.

The structure belongs to space group Cmcm (No. 63); the cell edges are 12.517, 5.794 and 5.259 Å and the angles 90.00°, 90.00° and 90.00°. The inequivalent atoms are Ba at (0.000, 0.206, 0.250) and Zr at (0.205, 0.354, 0.750).

The magnetic moment is 0.002 μB/atom. The calculation puts the calculated total energy at -70.56 eV per cell. The calculation puts the volume at 31.8 Å³ per atom.

---

A plane-wave DFT calculation with PBE was carried out for a relaxed PrBiSe2O crystal.

The structure belongs to space group P4/nmm (No. 129, origin choice 2); the cell edges are 4.122, 4.122 and 14.759 Å and the angles 90.00°, 90.00° and 90.00°. The inequivalent atoms are Pr at (0.250, 0.250, 0.081), Bi at (0.250, 0.250, 0.632), Se at (0.250, 0.250, 0.400), Se at (0.250, 0.250, 0.813) and O at (0.250, 0.750, 0.000).

The magnetic moment is 0.002 μB/atom. The calculation puts the calculated total energy at -58.08 eV per cell. The calculation puts the volume at 25.1 Å³ per atom.

---

A plane-wave DFT calculation with PBE was carried out for a relaxed YPt2Pb crystal.

The structure belongs to space group F-43m (No. 216); the cell edges are 6.879, 6.879 and 6.879 Å and the angles 90.00°, 90.00° and 90.00°. The inequivalent atoms are Y at (0.000, 0.000, 0.000), Pt at (0.000, 0.000, 0.500), Pt at (0.250, 0.250, 0.250) and Pb at (0.250, 0.250, 0.750).

The magnetic moment is 0.000 μB/atom. The calculation puts the calculated total energy at -97.02 eV per cell. The calculation puts the volume at 20.3 Å³ per atom.

---

A plane-wave DFT calculation with PBE was carried out for a relaxed Mo2Pd2C3 crystal.

The structure belongs to space group C2/m (No. 12); the cell edges are 10.992, 3.080 and 5.272 Å and the angles 90.00°, 107.71° and 90.00°. The inequivalent atoms are Mo at (0.179, 0.000, 0.267), Pd at (0.073, 0.500, 0.776), C at (0.000, 0.000, 0.000) and C at (0.187, 0.000, 0.659).

The magnetic moment is 0.001 μB/atom. The calculation puts the calculated total energy at -113.85 eV per cell. The calculation puts the volume at 12.1 Å³ per atom.

---

A plane-wave DFT calculation with PBE was carried out for a relaxed PmScB4 crystal.

The structure belongs to space group P6/mmm (No. 191); the cell edges are 3.2183, 3.2183 and 7.6694 Å and the angles 90.00°, 90.00° and 120.00°. The inequivalent atoms are Pm at (0.0000, 0.0000, 0.0000), Sc at (0.0000, 0.0000, 0.5000) and B at (0.3333, 0.6667, 0.2747).

The magnetic moment is 0.000 μB/atom. The calculation puts the calculated total energy at -41.28 eV per cell. The calculation puts the volume at 11.5 Å³ per atom.

---

A plane-wave DFT calculation with PBE was carried out for a relaxed TlSiW crystal.

The structure belongs to space group F-43m (No. 216); the cell edges are 6.159, 6.159 and 6.159 Å and the angles 90.00°, 90.00° and 90.00°. The inequivalent atoms are Tl at (0.000, 0.000, 0.000), Si at (0.250, 0.250, 0.250) and W at (0.000, 0.000, 0.500).

The magnetic moment is 0.013 μB/atom. The calculation puts the calculated total energy at -70.29 eV per cell. The calculation puts the volume at 19.5 Å³ per atom.

---

A plane-wave DFT calculation with PBE was carried out for a relaxed Cu12Sb4Se13 crystal.

The structure belongs to space group I-43m (No. 217); the cell edges are 10.852, 10.852 and 10.852 Å and the angles 90.00°, 90.00° and 90.00°. The inequivalent atoms are Cu at (0.000, 0.000, 0.222), Cu at (0.000, 0.250, 0.500), Sb at (0.224, 0.224, 0.224), Se at (0.000, 0.000, 0.000) and Se at (0.116, 0.116, 0.634).

The calculation puts the calculated total energy at -221.81 eV per cell. The calculation puts the volume at 22.0 Å³ per atom.

---

A plane-wave DFT calculation with PBE was carried out for a relaxed AcDyTh crystal.

The structure belongs to space group F-43m (No. 216); the cell edges are 7.902, 7.902 and 7.902 Å and the angles 90.00°, 90.00° and 90.00°. The inequivalent atoms are Ac at (0.000, 0.000, 0.000), Dy at (0.250, 0.250, 0.250) and Th at (0.000, 0.000, 0.500).

The magnetic moment is 0.010 μB/atom. The calculation puts the calculated total energy at -55.51 eV per cell. The calculation puts the volume at 41.1 Å³ per atom.

---

A plane-wave DFT calculation with PBE was carried out for a relaxed Rb2PrHoO4 crystal.

The structure belongs to space group P-3m1 (No. 164); the cell edges are 3.5542, 3.5542 and 12.9819 Å and the angles 90.00°, 90.00° and 120.00°. The inequivalent atoms are Rb at (0.3333, 0.6667, 0.2547), Pr at (0.0000, 0.0000, 0.0000), Ho at (0.0000, 0.0000, 0.5000), O at (0.3333, 0.6667, 0.5852) and O at (0.3333, 0.6667, 0.9032).

The magnetic moment is 0.001 μB/atom. The calculation puts the calculated total energy at -51.86 eV per cell. The calculation puts the volume at 17.8 Å³ per atom.

---

A plane-wave DFT calculation with PBE was carried out for a relaxed Y3Fe2CoNi6 crystal.

The structure belongs to space group R-3m (No. 166, hexagonal axes); the cell edges are 5.0062, 5.0062 and 24.2595 Å and the angles 90.00°, 90.00° and 120.00°. The inequivalent atoms are Y at (0.0000, 0.0000, 0.0000), Y at (0.0000, 0.0000, 0.1397), Fe at (0.0000, 0.0000, 0.3324), Co at (0.0000, 0.0000, 0.5000) and Ni at (0.0028, 0.5014, 0.0811).

The magnetic moment is 0.572 μB/atom. The calculation puts the calculated total energy at -240.00 eV per cell. The calculation puts the volume at 14.6 Å³ per atom.